{"formula": "NdAs2Pd5Pb", "functional": "GGA-PBE", "state": "optimized geometry", "lattice_angstrom": [[4.3670, 0.0000, 0.0000], [0.0000, 4.3670, 0.0000], [0.0000, 0.0000, 8.8248]], "species": ["Nd", "As", "As", "Pd", "Pd", "Pd", "Pd", "Pd", "Pb"], "frac_coords": [[0.0000, 0.0000, 0.0000], [0.5000, 0.5000, 0.1459], [0.5000, 0.5000, 0.8541], [0.0000, 0.5000, 0.2798], [0.0000, 0.5000, 0.7202], [0.5000, 0.0000, 0.2798], [0.5000, 0.0000, 0.7202], [0.5000, 0.5000, 0.5000], [0.0000, 0.0000, 0.5000]], "spacegroup": "P4/mmm (123)", "total_energy_ev_per_atom": -5.46, "total_magnetization_mub_per_cell": 0.000}

{"formula": "Pu3B2OsRh9", "functional": "GGA-PBE", "state": "optimized geometry", "lattice_angstrom": [[5.8130, 0.0000, 0.0000], [-2.9065, 5.0342, 0.0000], [0.0000, 0.0000, 8.5622]], "species": ["Pu", "Pu", "Pu", "B", "B", "Os", "Rh", "Rh", "Rh", "Rh", "Rh", "Rh", "Rh", "Rh", "Rh"], "frac_coords": [[0.0000, 0.0000, 0.0000], [0.3333, 0.6667, 0.6272], [0.6667, 0.3333, 0.3728], [0.3333, 0.6667, 0.1415], [0.6667, 0.3333, 0.8585], [0.0000, 0.0000, 0.5000], [0.0000, 0.5000, 0.0000], [0.1677, 0.3354, 0.2847], [0.1677, 0.8323, 0.2847], [0.3354, 0.1677, 0.7153], [0.5000, 0.0000, 0.0000], [0.5000, 0.5000, 0.0000], [0.6646, 0.8323, 0.2847], [0.8323, 0.1677, 0.7153], [0.8323, 0.6646, 0.7153]], "spacegroup": "P-3m1 (164)", "total_energy_ev_per_atom": -9.18, "total_magnetization_mub_per_cell": 13.496}

{"formula": "CaInReNi2", "functional": "GGA-PBE", "state": "optimized geometry", "lattice_angstrom": [[4.4593, 0.0000, 0.0000], [0.0000, 4.4593, 0.0000], [0.0000, 0.0000, 4.9720]], "species": ["Ca", "In", "Re", "Ni", "Ni"], "frac_coords": [[0.0000, 0.0000, 0.0000], [0.5000, 0.5000, 0.5000], [0.0000, 0.0000, 0.5000], [0.0000, 0.5000, 0.0000], [0.5000, 0.0000, 0.0000]], "spacegroup": "P4/mmm (123)", "total_energy_ev_per_atom": -3.91, "total_magnetization_mub_per_cell": 1.278}

{"formula": "YMg2ReSn", "functional": "GGA-PBE", "state": "optimized geometry", "lattice_angstrom": [[5.0167, 0.0000, 0.0000], [0.0000, 5.0167, 0.0000], [0.0000, 0.0000, 5.1056]], "species": ["Y", "Mg", "Mg", "Re", "Sn"], "frac_coords": [[0.0000, 0.0000, 0.0000], [0.0000, 0.5000, 0.5000], [0.5000, 0.0000, 0.5000], [0.5000, 0.5000, 0.5000], [0.5000, 0.5000, 0.0000]], "spacegroup": "P4/mmm (123)", "total_energy_ev_per_atom": -4.87, "total_magnetization_mub_per_cell": 0.000}

{"formula": "Sm2AlAgS5", "functional": "GGA-PBE", "state": "optimized geometry", "lattice_angstrom": [[1.9261, -8.7534, 0.0000], [1.9261, 8.7534, 0.0000], [0.0000, 0.0000, 11.2432]], "species": ["Sm", "Sm", "Sm", "Sm", "Al", "Al", "Ag", "Ag", "S", "S", "S", "S", "S", "S", "S", "S", "S", "S"], "frac_coords": [[0.1181, 0.8819, 0.5000], [0.1252, 0.8748, 0.1171], [0.8748, 0.1252, 0.6171], [0.8819, 0.1181, 0.0000], [0.4319, 0.5681, 0.2727], [0.5681, 0.4319, 0.7727], [0.2260, 0.7740, 0.8398], [0.7740, 0.2260, 0.3398], [0.0410, 0.9590, 0.8780], [0.2919, 0.7081, 0.4998], [0.3210, 0.6790, 0.1716], [0.3689, 0.6311, 0.8150], [0.4975, 0.5025, 0.0978], [0.5025, 0.4975, 0.5978], [0.6311, 0.3689, 0.3150], [0.6790, 0.3210, 0.6716], [0.7081, 0.2919, 0.9998], [0.9590, 0.0410, 0.3780]], "spacegroup": "Cmc2_1 (36)", "raw_formation_energy_ev_per_fu": -12.7, "total_energy_ev_per_atom": -5.49, "total_magnetization_mub_per_cell": 0.000}

{"formula": "TaNiPt6", "functional": "GGA-PBE", "state": "optimized geometry", "lattice_angstrom": [[0.0000, 3.9235, 5.6279], [2.7799, 0.0000, 5.6279], [2.7799, 3.9235, 0.0000]], "species": ["Ta", "Ni", "Pt", "Pt", "Pt", "Pt", "Pt", "Pt"], "frac_coords": [[0.0000, 0.0000, 0.0000], [0.5000, 0.5000, 0.5000], [0.1211, 0.1211, 0.3789], [0.2505, 0.2505, 0.7495], [0.3789, 0.3789, 0.1211], [0.6211, 0.6211, 0.8789], [0.7495, 0.7495, 0.2505], [0.8789, 0.8789, 0.6211]], "spacegroup": "Fmmm (69)", "relative_energy_mev_per_atom": 0, "total_energy_ev_per_atom": -7.13, "total_magnetization_mub_per_cell": 0.000}

{"formula": "NdDyGeIr", "functional": "GGA-PBE", "state": "optimized geometry", "lattice_angstrom": [[4.1258, 0.0000, 0.0000], [0.0000, 2.0960, 5.4329], [0.0000, -2.0960, 5.4329]], "species": ["Nd", "Dy", "Ge", "Ir"], "frac_coords": [[0.0000, 0.0000, 0.0000], [0.5000, 0.2810, 0.2810], [0.5000, 0.5769, 0.5769], [0.0000, 0.7255, 0.7255]], "spacegroup": "Amm2 (38)", "total_energy_ev_per_atom": -6.51, "total_magnetization_mub_per_cell": 0.000}

{"formula": "Pm6HoMg2", "functional": "GGA-PBE", "state": "optimized geometry", "lattice_angstrom": [[8.3741, -1.7563, 0.0000], [8.3741, 1.7563, 0.0000], [-6.5686, 0.0000, 9.9303]], "species": ["Pm", "Pm", "Pm", "Pm", "Pm", "Pm", "Ho", "Mg", "Mg"], "frac_coords": [[0.0491, 0.0491, 0.2494], [0.2284, 0.2284, 0.6107], [0.3722, 0.3722, 0.9462], [0.6278, 0.6278, 0.0538], [0.7716, 0.7716, 0.3893], [0.9509, 0.9509, 0.7506], [0.0000, 0.0000, 0.5000], [0.3482, 0.3482, 0.2107], [0.6518, 0.6518, 0.7893]], "spacegroup": "C2/m (12)", "total_energy_ev_per_atom": -3.92, "total_magnetization_mub_per_cell": 0.000}

{"formula": "Fe2NiB2", "functional": "GGA-PBE", "state": "optimized geometry", "lattice_angstrom": [[5.3723, 0.0000, 0.0000], [0.0000, 5.3723, 0.0000], [0.0000, 0.0000, 2.9808]], "species": ["Fe", "Fe", "Fe", "Fe", "Ni", "Ni", "B", "B", "B", "B"], "frac_coords": [[0.1712, 0.3288, 0.0000], [0.3288, 0.8288, 0.0000], [0.6712, 0.1712, 0.0000], [0.8288, 0.6712, 0.0000], [0.0000, 0.0000, 0.5000], [0.5000, 0.5000, 0.5000], [0.1185, 0.6185, 0.5000], [0.3815, 0.1185, 0.5000], [0.6185, 0.8815, 0.5000], [0.8815, 0.3815, 0.5000]], "spacegroup": "P4/mbm (127)", "relative_energy_mev_per_atom": 0, "total_energy_ev_per_atom": -7.49, "total_magnetization_mub_per_cell": 7.758}

{"formula": "Th2P4Ir3Ru", "functional": "GGA-PBE", "state": "optimized geometry", "lattice_angstrom": [[4.2057, 0.0000, 0.0000], [0.0000, 4.2057, 0.0000], [0.0000, 0.0000, 9.5600]], "species": ["Th", "Th", "P", "P", "P", "P", "Ir", "Ir", "Ir", "Ru"], "frac_coords": [[0.0000, 0.5000, 0.2459], [0.5000, 0.0000, 0.7541], [0.0000, 0.0000, 0.0000], [0.0000, 0.5000, 0.6360], [0.5000, 0.0000, 0.3640], [0.5000, 0.5000, 0.0000], [0.0000, 0.5000, 0.8882], [0.5000, 0.0000, 0.1118], [0.5000, 0.5000, 0.5000], [0.0000, 0.0000, 0.5000]], "spacegroup": "P-4m2 (115)", "total_energy_ev_per_atom": -8.32, "total_magnetization_mub_per_cell": 0.000}

Repeat the third record exactly.
{"formula": "CaInReNi2", "functional": "GGA-PBE", "state": "optimized geometry", "lattice_angstrom": [[4.4593, 0.0000, 0.0000], [0.0000, 4.4593, 0.0000], [0.0000, 0.0000, 4.9720]], "species": ["Ca", "In", "Re", "Ni", "Ni"], "frac_coords": [[0.0000, 0.0000, 0.0000], [0.5000, 0.5000, 0.5000], [0.0000, 0.0000, 0.5000], [0.0000, 0.5000, 0.0000], [0.5000, 0.0000, 0.0000]], "spacegroup": "P4/mmm (123)", "total_energy_ev_per_atom": -3.91, "total_magnetization_mub_per_cell": 1.278}

Which formula does entry 3 have?
CaInReNi2